A geometry-optimized Sm2YTm4 structure. Source: Alexandria via LeMat-Bulk, functional PBE.

M_tot (μB/cell): 0.00
DOS at the Fermi energy (states/eV/cell): 22.96
Energy of formation from the pure elements (kJ/mol of formula units): 49
Calculated total energy (eV/atom): -4.75
Energy above the lowest structure with this stoichiometry (eV/atom): 0.0000

CIF file:
```
data_Sm2YTm4
_symmetry_space_group_name_H-M 'P 1'
_symmetry_Int_Tables_number 1
_symmetry_space_group_name_Hall 'P 1'
_cell_length_a 6.0392
_cell_length_b 8.3461
_cell_length_c 9.4594
_cell_angle_alpha 88.48
_cell_angle_beta 78.21
_cell_angle_gamma 72.42
loop_
_atom_site_label
_atom_site_type_symbol
_atom_site_fract_x
_atom_site_fract_y
_atom_site_fract_z
_atom_site_occupancy
Sm1 Sm 0.0000 0.0000 0.0000 1
Sm2 Sm 0.0081 0.8865 0.3555 1
Sm3 Sm 0.1595 0.4888 0.4922 1
Sm4 Sm 0.2700 0.0441 0.6226 1
Y1 Y 0.1177 0.5537 0.1240 1
Y2 Y 0.9054 0.4182 0.8465 1
Tm1 Tm 0.2732 0.1557 0.2624 1
Tm2 Tm 0.3642 0.6284 0.7711 1
Tm3 Tm 0.4654 0.2075 0.9056 1
Tm4 Tm 0.5480 0.7789 0.0680 1
Tm5 Tm 0.6015 0.6854 0.4190 1
Tm6 Tm 0.6721 0.3614 0.2003 1
Tm7 Tm 0.7241 0.2641 0.5500 1
Tm8 Tm 0.8064 0.8377 0.7146 1
```

***

A geometry-optimized TlZnMo2 structure. Source: Alexandria via LeMat-Bulk, functional PBE.

M_tot (μB/cell): 0.00
DOS at the Fermi energy (states/eV/cell): 7.59
Energy of formation from the pure elements (kJ/mol of formula units): 169
Calculated total energy (eV/atom): -5.89
Energy above the lowest structure with this stoichiometry (eV/atom): 0.1030

CIF file:
```
data_TlZnMo2
_symmetry_space_group_name_H-M 'R 3 m'
_symmetry_Int_Tables_number 160
_symmetry_space_group_name_Hall 'R 3 -2"'
_cell_length_a 3.1433
_cell_length_b 3.1433
_cell_length_c 27.4069
_cell_angle_alpha 90.00
_cell_angle_beta 90.00
_cell_angle_gamma 120.00
loop_
_atom_site_label
_atom_site_type_symbol
_atom_site_fract_x
_atom_site_fract_y
_atom_site_fract_z
_atom_site_occupancy
Tl1 Tl 0.0000 0.0000 0.0000 1
Zn1 Zn 0.0000 0.0000 0.2397 1
Mo1 Mo 0.0000 0.0000 0.4927 1
Mo2 Mo 0.0000 0.0000 0.7632 1
```